(1)
## PmGeRh2 (PBE)

Data for crystalline PmGeRh2 at its relaxed geometry.

a = 3.9977 Å, b = 3.9977 Å, c = 9.7020 Å
α = 90.00°, β = 90.00°, γ = 90.00°
Fractional coordinates of all 8 atoms:
Pm  0.2500  0.2500  0.2007
Pm  0.7500  0.7500  0.7993
Ge  0.2500  0.2500  0.6487
Ge  0.7500  0.7500  0.3513
Rh  0.2500  0.2500  0.9016
Rh  0.2500  0.7500  0.5000
Rh  0.7500  0.2500  0.5000
Rh  0.7500  0.7500  0.0984

Output
Calculated volume   19.38 A^3/atom
DOS(E_F)   5.231 states/eV/cell
Total energy   -6.73 eV/atom
Magnetic moment   0.00 μB/f.u.


(2)
## Pm3Ge9Rh2 (PBE)

Data for crystalline Pm3Ge9Rh2 at its relaxed geometry.

a = 8.3793 Å, b = 8.3793 Å, c = 8.3793 Å
α = 150.56°, β = 98.95°, γ = 88.49°
Fractional coordinates of all 14 atoms:
Pm  0.0000  0.0000  0.0000
Pm  0.3214  0.3214  0.0000
Pm  0.6786  0.6786  0.0000
Ge  0.0393  0.6628  0.3764
Ge  0.1547  0.8740  0.2807
Ge  0.2864  0.6628  0.6236
Ge  0.4066  0.1260  0.2807
Ge  0.5000  0.0000  0.5000
Ge  0.5934  0.8740  0.7193
Ge  0.7136  0.3372  0.3764
Ge  0.8453  0.1260  0.7193
Ge  0.9607  0.3372  0.6236
Rh  0.2726  0.5000  0.7726
Rh  0.7274  0.5000  0.2274

Output
Calculated volume   19.88 A^3/atom
DOS(E_F)   6.829 states/eV/cell
Total energy   -5.53 eV/atom
Magnetic moment   0.00 μB/f.u.